Entry 1:
VASP calculation (PBE-GGA) on an optimized crystal structure of AcPm2N.

a = 3.3507 Å, b = 3.3507 Å, c = 9.0063 Å
α = 90.00°, β = 90.00°, γ = 90.00°
With the nearest neighbours (Å) after each atom.
Space group P4/mmm (No. 123)
One atom of each set of equivalent atoms:
Ac 0.0000 0.0000 0.0000 [1 per cell]  4 Ac 3.35
Pm 0.5000 0.5000 0.3383 [2 per cell]  4 N 2.78, 1 Pm 2.91
N 0.0000 0.0000 0.5000 [1 per cell]  8 Pm 2.78

Computed properties:
* total DFT energy (no corrections): -22.1 eV for the cell shown
* energy relative to the lowest polymorph listed for this composition: 592 meV/atom
* M_tot: 0.00 μB per cell
* crystal system: tetragonal
* energy relative to the elements, uncorrected: -36 meV per atom

=====

Entry 2:
VASP calculation (PBE-GGA) on an optimized crystal structure of Cs2BaDyCl6.

a = 7.7302 Å, b = 11.4486 Å, c = 8.5193 Å
α = 90.00°, β = 90.00°, γ = 90.00°
With the nearest neighbours (Å) after each atom.
Space group Pmmn (No. 59, origin choice 2)
One atom of each set of equivalent atoms:
Cs 0.2500 0.0204 0.2137 [4 per cell]  9 Cl 3.77-4.02
Ba 0.2500 0.2500 0.7228 [2 per cell]  6 Cl 3.07-3.09
Dy 0.2500 0.7500 0.7736 [2 per cell]  6 Cl 2.67-2.69
Cl 0.0050 0.7500 0.5530 [4 per cell]  1 Dy 2.67
Cl 0.0123 0.7500 0.0036 [4 per cell]  1 Dy 2.69
Cl 0.2500 0.5157 0.7740 [4 per cell]  1 Dy 2.68

Computed properties:
* total DFT energy (no corrections): -80.2 eV for the cell shown
* M_tot: 0.01 μB per cell
* crystal system: orthorhombic
* energy relative to the elements, uncorrected: -2078 meV per atom

=====

Entry 3:
VASP calculation (PBE-GGA) on an optimized crystal structure of La6HoHg2.

a = 13.1778 Å, b = 3.8585 Å, c = 12.3264 Å
α = 90.00°, β = 108.42°, γ = 90.00°
With the nearest neighbours (Å) after each atom.
Space group C2/m (No. 12)
One atom of each set of equivalent atoms:
La 0.0244 0.0000 0.3364 [4 per cell]  2 Hg 3.32, 3 La 3.55-3.68
La 0.1839 0.5000 0.8760 [4 per cell]  2 Hg 3.34, 5 La 3.51-3.68
La 0.1931 0.5000 0.5949 [4 per cell]  10 La 3.51-3.86, 2 Hg 3.51
Ho 0.0000 0.0000 0.0000 [2 per cell]  4 Hg 3.09
Hg 0.1346 0.5000 0.1856 [4 per cell]  2 Ho 3.09, 4 La 3.32-3.34

Computed properties:
* E_form: -0.222 eV/atom
* total DFT energy (no corrections): -73.5 eV for the cell shown
* M_tot: 0.00 μB per cell
* crystal system: monoclinic

=====

Entry 4:
VASP calculation (PBE-GGA) on an optimized crystal structure of Li2ErNi9.

a = 4.8040 Å, b = 4.8040 Å, c = 23.3883 Å
α = 90.00°, β = 90.00°, γ = 120.00°
With the nearest neighbours (Å) after each atom.
Space group R-3m (No. 166, hexagonal axes)
One atom of each set of equivalent atoms:
Li 0.0000 0.0000 0.1451 [6 per cell]  12 Ni 2.78-2.82, 3 Li 2.95
Er 0.0000 0.0000 0.0000 [3 per cell]  6 Ni 2.77
Ni 0.0000 0.0000 0.3332 [6 per cell]  6 Ni 2.41-2.43
Ni 0.0000 0.0000 0.5000 [3 per cell]  6 Ni 2.37
Ni 0.0022 0.5011 0.9152 [18 per cell]  7 Ni 2.37-2.43

Computed properties:
* E_form: -0.164 eV/atom
* total DFT energy (no corrections): -187.2 eV for the cell shown
* M_tot: 6.90 μB per cell
* crystal system: trigonal

=====

Entry 5:
VASP calculation (PBE-GGA) on an optimized crystal structure of Os3Pt5.

a = 7.6881 Å, b = 7.6881 Å, c = 4.9636 Å
α = 90.00°, β = 90.00°, γ = 120.00°
With the nearest neighbours (Å) after each atom.
Space group P6_3/mcm (No. 193)
One atom of each set of equivalent atoms:
Os 0.0000 0.4095 0.2500 [6 per cell]  9 Pt 2.64-2.89, 2 Os 2.85
Pt 0.0000 0.2169 0.7500 [6 per cell]  5 Os 2.73-2.89, 6 Pt 2.89-2.99
Pt 0.3333 0.6667 0.0000 [4 per cell]  2 Pt 2.48, 6 Os 2.64

Computed properties:
* E_form: 0.493 eV/atom
* total DFT energy (no corrections): -119.9 eV for the cell shown
* energy relative to the lowest polymorph listed for this composition: 99 meV/atom
* M_tot: 0.00 μB per cell
* crystal system: hexagonal

=====

Entry 6:
VASP calculation (PBE-GGA) on an optimized crystal structure of TaGaCuHg2.

a = 5.3864 Å, b = 5.3864 Å, c = 5.0698 Å
α = 90.00°, β = 90.00°, γ = 90.00°
With the nearest neighbours (Å) after each atom.
Space group P4/mmm (No. 123)
One atom of each set of equivalent atoms:
Ta 0.0000 0.0000 0.0000 [1 per cell]  2 Ga 2.53, 4 Hg 2.69
Ga 0.0000 0.0000 0.5000 [1 per cell]  2 Ta 2.53
Cu 0.5000 0.5000 0.5000 [1 per cell]  8 Hg 3.70, 4 Ga 3.81
Hg 0.0000 0.5000 0.0000 [2 per cell]  2 Ta 2.69

Computed properties:
* E_form: 1.155 eV/atom
* total DFT energy (no corrections): -13.8 eV for the cell shown
* M_tot: 0.00 μB per cell
* crystal system: tetragonal